DFT (GGA+U) results for a relaxed structure of Li3Ni5O8.

The structure belongs to space group R-3m (No. 166, hexagonal axes); the cell edges are 5.8400, 5.8400 and 14.3736 Å and the angles 90.00°, 90.00° and 120.00°. The distinct sites, in fractional coordinates, are Li at (0.0000, 0.5000, 0.0000), Ni at (0.0000, 0.0000, 0.0000), Ni at (0.0000, 0.0000, 0.5000), Ni at (0.0000, 0.5000, 0.5000), O at (0.0000, 0.0000, 0.2378) and O at (0.0049, 0.5024, 0.7525).

The calculation puts the total magnetization at 7.0 μB/f.u. The electronic total energy comes out at -4.85 eV per atom.